This record from Alexandria via LeMat-Bulk describes a geometry-optimized Mo2Pt2C structure. The functional is GGA-PBE.

Space-group type ... I4/mmm
DFT formation energy ... 127.3 kJ per mole of atoms
N(E_F) ... 0.68 states/eV/atom
Total magnetization ... 0.000 μB per atom

Cell and atoms, written as POSCAR:
```
Mo2Pt2C
1.0
3.500 0.000 0.000
0.000 3.500 0.000
1.750 1.750 6.714
C Pt Mo
1 2 2
Cartesian
0.000 0.000 0.000
1.750 1.750 1.289
3.500 3.500 5.425
3.500 1.750 3.357
1.750 3.500 3.357
```